# PuThI6

PuThI6 after structural relaxation (PBE-GGA, Alexandria via LeMat-Bulk).

The structure in CIF format:
```
data_PuThI6
_chemical_formula_sum 'Pu3 Th3 I18'
_space_group_name_H-M_alt 'R -3'
_space_group_IT_number 148
_space_group_name_Hall '-R 3'
_cell_length_a 7.8564
_cell_length_b 7.8564
_cell_length_c 21.4684
_cell_angle_alpha 90.00
_cell_angle_beta 90.00
_cell_angle_gamma 120.00
loop_
_atom_site_label
_atom_site_type_symbol
_atom_site_fract_x
_atom_site_fract_y
_atom_site_fract_z
Pu1 Pu 0.0000 0.0000 0.0000
Th1 Th 0.0000 0.0000 0.5000
I1 I 0.0022 0.3246 0.5823
```

Values from the calculation:
* formation energy without anion corrections: -1105 meV per atom